(1)
Compound: TaTcW
Source: Alexandria via LeMat-Bulk
Functional: PBE
Structure: relaxed

Summary:
Space group: I4mm
ΔE to the lowest computed polymorph (eV per atom): 0.0000

Cell lengths 5.3154, 5.3154, 5.3154 Å; angles 145.18, 145.18, 50.07 degrees
Element x y z (fractional)
Ta  0.0000  0.0000  0.0000
Tc  0.6670  0.6670  0.0000
W  0.3289  0.3289  0.0000

(2)
Compound: TaTc2W
Source: Alexandria via LeMat-Bulk
Functional: PBE
Structure: relaxed

Summary:
Space group: I-4m2

Cell lengths 5.2108, 5.2108, 5.2108 Å; angles 137.28, 137.28, 62.00 degrees
Element x y z (fractional)
Ta  0.0000  0.0000  0.0000
Tc  0.2500  0.7500  0.5000
Tc  0.5000  0.5000  0.0000
W  0.7500  0.2500  0.5000

(3)
Compound: TaTc2W
Source: Alexandria via LeMat-Bulk
Functional: PBE
Structure: relaxed

Summary:
Space group: P4mm

Cell lengths 3.1613, 3.1613, 6.3725 Å; angles 90.00, 90.00, 90.00 degrees
Element x y z (fractional)
Ta  0.0000  0.0000  0.0000
Tc  0.0000  0.0000  0.5022
Tc  0.5000  0.5000  0.2316
W  0.5000  0.5000  0.7293

(4)
Compound: TaTc2W
Source: Alexandria via LeMat-Bulk
Functional: PBE
Structure: relaxed

Summary:
Space group: Pm

Cell lengths 2.7871, 4.4547, 5.2184 Å; angles 90.00, 101.35, 90.00 degrees
Element x y z (fractional)
Ta  0.0000  0.0000  0.0000
Tc  0.4793  0.0000  0.5021
Tc  0.7718  0.5000  0.2311
W  0.2503  0.5000  0.7287

(5)
Compound: Ta3TcW2
Source: Alexandria via LeMat-Bulk
Functional: PBE
Structure: relaxed

Summary:
Space group: P4/mmm

Cell lengths 3.2224, 3.2224, 9.6885 Å; angles 90.00, 90.00, 90.00 degrees
Element x y z (fractional)
Ta  0.0000  0.0000  0.0000
Ta  0.0000  0.0000  0.3366
Ta  0.0000  0.0000  0.6634
Tc  0.5000  0.5000  0.5000
W  0.5000  0.5000  0.1679
W  0.5000  0.5000  0.8321

(6)
Compound: Y2TaTc
Source: Alexandria via LeMat-Bulk
Functional: PBE
Structure: relaxed

Summary:
Space group: C2/m
ΔE to the lowest computed polymorph (eV per atom): 0.5121

Cell lengths 5.7079, 5.7079, 3.0738 Å; angles 98.28, 98.28, 116.99 degrees
Element x y z (fractional)
Y  0.0000  0.5000  0.0000
Y  0.5000  0.0000  0.0000
Ta  0.0000  0.0000  0.5000
Tc  0.5000  0.5000  0.5000

no.,energy of formation (eV per formula unit),calculated total energy (eV/atom)
1,-0.6,-11.91
2,0.5,-11.26
3,-0.4,-11.48
4,-0.2,-11.44
5,-1.5,-12.22
6,1.9,-8.31